VASP calculation (PBEsol) on a relaxed ZnPBr2 crystal.

For the total energy, the calculation gives -9.94 eV for the cell shown. As for the formation energy (no corrections): 294 meV per atom.

abc: 3.3834 4.0689 6.2250
angles: 90.00 90.00 90.00
With the nearest neighbours (Å) after each atom.
Positions (direct):
Br (0.5000, 0.0000, 0.5000)  4 Zn 2.65
Br (0.0000, 0.0000, 0.0000)  4 P 2.65
Zn (0.0000, 0.5000, 0.5000)  4 Br 2.65
P (0.5000, 0.5000, 0.0000)  4 Br 2.65


VASP calculation (PBEsol) on a relaxed Sr2ZnSb crystal.

For the total energy, the calculation gives -10.96 eV for the cell shown. The value obtained for the polymorph energy (0 for the lowest one) is 1.51 eV per formula unit. As for the formation energy (no corrections): -284 meV per atom.

abc: 3.8254 3.8254 8.9677
angles: 90.00 90.00 90.10
With the nearest neighbours (Å) after each atom.
Positions (direct):
Zn (0.0000, 0.0000, 0.4525)  4 Sb 3.01, 4 Sr 3.35
Sr (0.0000, 0.0000, 0.0696)  4 Sb 3.43, 1 Zn 3.43, 4 Sr 3.83
Sr (0.5000, 0.5000, 0.6727)  1 Sb 3.30, 4 Zn 3.35
Sb (0.5000, 0.5000, 0.3052)  4 Zn 3.01, 1 Sr 3.30


VASP calculation (PBEsol) on a relaxed GdCdPt2 crystal.

For the total energy, the calculation gives -32.59 eV for the cell shown.

abc: 4.7464 4.7464 4.7464
angles: 60.00 60.00 60.00
With the nearest neighbours (Å) after each atom.
Positions (direct):
Cd (0.0000, 0.0000, 0.0000)  8 Pt 2.91
Gd (0.5000, 0.5000, 0.5000)  8 Pt 2.91
Pt (0.2500, 0.2500, 0.2500)  4 Gd 2.91, 4 Cd 2.91
Pt (0.7500, 0.7500, 0.7500)  4 Cd 2.91, 4 Gd 2.91


VASP calculation (PBEsol) on a relaxed KY2Ge2 crystal.

For the total energy, the calculation gives -25.95 eV for the cell shown.

abc: 5.0256 5.0256 6.7621
angles: 111.81 111.81 90.00
With the nearest neighbours (Å) after each atom.
Positions (direct):
Y (0.7500, 0.2500, 0.5000)  4 Ge 2.94
Y (0.2500, 0.7500, 0.5000)  4 Ge 2.94
Ge (0.6175, 0.6175, 0.2351)  1 Ge 2.70, 4 Y 2.94
Ge (0.3825, 0.3825, 0.7649)  1 Ge 2.70, 4 Y 2.94
K (0.0000, 0.0000, 0.0000)  8 Ge 3.80, 8 Y 3.82


VASP calculation (PBEsol) on a relaxed Li2CaSi crystal.

For the total energy, the calculation gives -12.94 eV for the cell shown. As for the formation energy (no corrections): -282 meV per atom.

abc: 4.5119 4.5119 5.3569
angles: 65.09 65.09 60.00
With the nearest neighbours (Å) after each atom.
Positions (direct):
Ca (0.7577, 0.7577, 0.7270)  1 Li 2.76, 1 Si 3.01
Li (0.2362, 0.2362, 0.2913)  3 Si 2.63, 3 Li 2.70
Li (0.9539, 0.9539, 0.1384)  3 Li 2.70, 1 Ca 2.76, 3 Si 2.82
Si (0.5432, 0.5432, 0.3705)  6 Li 2.63-2.82


VASP calculation (PBEsol) on a relaxed K2TaRh crystal.

For the total energy, the calculation gives -20.72 eV for the cell shown. The value obtained for the polymorph energy (0 for the lowest one) is 0.00 eV per formula unit.

abc: 3.1711 3.9042 11.0973
angles: 92.86 90.00 113.96
With the nearest neighbours (Å) after each atom.
Positions (direct):
Rh (0.5093, 0.0186, 0.5573)  3 Ta 2.38-2.50
K (0.7627, 0.5255, 0.3298)  2 K 3.17, 3 Rh 3.19-3.39
K (0.9977, 0.9954, 0.9477)  2 K 3.17
Ta (0.2303, 0.4605, 0.6652)  3 Rh 2.38-2.50